Below is a geometry-optimized NpVMoO6 structure, with properties calculated at the PBE+U level.

* size of the total moment: 0.6667 μB per atom
* crystal system: trigonal
* space-group type: P-31c
* final energy: -154.452 eV per cell

```
data_NpVMoO6
_cell_length_a 5.3096
_cell_length_b 5.3096
_cell_length_c 9.1743
_cell_angle_alpha 90.00
_cell_angle_beta 90.00
_cell_angle_gamma 120.00
_space_group_name_H-M_alt 'P 1'
_space_group_IT_number 1
loop_
_space_group_symop_operation_xyz
'x,y,z'
loop_
_atom_site_label
_atom_site_type_symbol
_atom_site_fract_x
_atom_site_fract_y
_atom_site_fract_z
Np1 Np 0.3333 0.6667 0.2500
Np2 Np 0.6667 0.3333 0.7500
V1 V 0.3333 0.6667 0.7500
V2 V 0.6667 0.3333 0.2500
Mo1 Mo 0.0000 0.0000 0.0000
Mo2 Mo 0.0000 0.0000 0.5000
O1 O 0.0119 0.3445 0.6318
O2 O 0.0119 0.6674 0.8682
O3 O 0.3326 0.3445 0.8682
O4 O 0.3326 0.9881 0.6318
O5 O 0.3445 0.0119 0.1318
O6 O 0.3445 0.3326 0.3682
O7 O 0.6555 0.6674 0.6318
O8 O 0.6555 0.9881 0.8682
O9 O 0.6674 0.0119 0.3682
O10 O 0.6674 0.6555 0.1318
O11 O 0.9881 0.3326 0.1318
O12 O 0.9881 0.6555 0.3682
```